The following is a DFT calculation (GGA-PBE) of an optimized crystal structure of MgSiRu2. Values from VASP.

Symmetry: P4mm (99)
Raw total energy in Ry/atom: -0.4753

```
&SYSTEM
  ibrav = 0, nat = 4, ntyp = 3
/
ATOMIC_SPECIES
Ru 101.07 Ru.upf
Mg 24.30 Mg.upf
Si 28.09 Si.upf
CELL_PARAMETERS angstrom
-2.8069 1.1422 -0.5901
-1.2274 -1.9593 2.0461
0.7455 4.0831 4.3570
ATOMIC_POSITIONS crystal
Ru 0.5000 0.5000 0.2828
Ru 0.0000 0.0000 0.9927
Mg 0.5000 0.5000 0.7512
Si 0.0000 0.0000 0.4733
```

The following is a DFT calculation (GGA-PBE) of an optimized crystal structure of Cd2Sn2Ge. Values from VASP.

Symmetry: P4/mbm (127)
E_form in kJ/mol of atoms: 18.6

```
&SYSTEM
  ibrav = 0, nat = 10, ntyp = 3
/
ATOMIC_SPECIES
Ge 72.64 Ge.upf
Sn 118.71 Sn.upf
Cd 112.41 Cd.upf
CELL_PARAMETERS angstrom
-2.6687 3.8739 5.7774
1.2526 -5.8192 4.4805
4.2110 1.5856 0.8820
ATOMIC_POSITIONS crystal
Ge 0.0000 0.0000 0.0000
Ge 0.5000 0.5000 0.0000
Sn 0.1698 0.6698 0.5000
Sn 0.8302 0.3302 0.5000
Sn 0.3302 0.1698 0.5000
Sn 0.6698 0.8302 0.5000
Cd 0.3622 0.8622 0.0000
Cd 0.8622 0.6378 0.0000
Cd 0.1378 0.3622 0.0000
Cd 0.6378 0.1378 0.0000
```

The following is a DFT calculation (GGA-PBE) of an optimized crystal structure of Ga3NiIr. Values from VASP.

Symmetry: Pm-3m (221)
E_form in kJ/mol of atoms: 30.4

```
&SYSTEM
  ibrav = 0, nat = 5, ntyp = 3
/
ATOMIC_SPECIES
Ni 58.69 Ni.upf
Ga 69.72 Ga.upf
Ir 192.22 Ir.upf
CELL_PARAMETERS angstrom
-2.2768 1.6689 -3.8263
-3.0087 -3.6773 0.1864
-2.8937 2.5104 2.8168
ATOMIC_POSITIONS crystal
Ni 0.5000 0.5000 0.5000
Ga 0.5000 0.0000 0.0000
Ga 0.0000 0.0000 0.5000
Ga 0.0000 0.5000 0.0000
Ir 0.0000 0.0000 0.0000
```

The following is a DFT calculation (GGA-PBE) of an optimized crystal structure of NaAg9Pd3. Values from VASP.

Symmetry: C2/m (12)
E_form in kJ/mol of atoms: -1.3

```
&SYSTEM
  ibrav = 0, nat = 13, ntyp = 3
/
ATOMIC_SPECIES
Na 22.99 Na.upf
Ag 107.87 Ag.upf
Pd 106.42 Pd.upf
CELL_PARAMETERS angstrom
5.1250 0.0560 2.0803
2.5314 6.6664 1.0275
0.0513 0.0280 7.2268
ATOMIC_POSITIONS crystal
Na 0.0000 0.0000 0.0000
Ag 0.0048 0.6551 0.3490
Ag 0.5037 0.2183 0.7798
Ag 0.6463 0.3449 0.3490
Ag 0.9952 0.3449 0.6510
Ag 0.0000 0.5000 0.0000
Ag 0.7166 0.7817 0.7798
Ag 0.3537 0.6551 0.6510
Ag 0.4963 0.7817 0.2202
Ag 0.2834 0.2183 0.2202
Pd 0.0000 0.0000 0.5000
Pd 0.5000 0.0000 0.5000
Pd 0.5000 0.5000 0.0000
```

The following is a DFT calculation (GGA-PBE) of an optimized crystal structure of Pu2TiIn9. Values from VASP.

Symmetry: P4/mmm (123)
E_form in kJ/mol of atoms: -15.2

```
&SYSTEM
  ibrav = 0, nat = 12, ntyp = 3
/
ATOMIC_SPECIES
Pu 244.00 Pu.upf
In 114.82 In.upf
Ti 47.87 Ti.upf
CELL_PARAMETERS angstrom
4.5871 0.0000 0.0000
0.0000 4.5871 0.0000
0.0000 0.0000 13.6735
ATOMIC_POSITIONS crystal
Pu 0.0000 0.0000 0.6745
Pu 0.0000 0.0000 0.3255
In 0.5000 0.5000 0.3308
In 0.5000 0.0000 0.8439
In 0.5000 0.5000 0.0000
In 0.5000 0.0000 0.1561
In 0.5000 0.0000 0.5000
In 0.5000 0.5000 0.6692
In 0.0000 0.5000 0.5000
In 0.0000 0.5000 0.8439
In 0.0000 0.5000 0.1561
Ti 0.0000 0.0000 0.0000
```

The following is a DFT calculation (GGA-PBE) of an optimized crystal structure of Ba2LaP. Values from VASP.

Symmetry: P4/mmm (123)
E_form in kJ/mol of atoms: -18.7

```
&SYSTEM
  ibrav = 0, nat = 4, ntyp = 3
/
ATOMIC_SPECIES
Ba 137.33 Ba.upf
P 30.97 P.upf
La 138.91 La.upf
CELL_PARAMETERS angstrom
4.9479 0.0040 0.0150
-0.0033 4.9479 0.0150
-0.0131 -0.0131 5.3282
ATOMIC_POSITIONS crystal
Ba 0.5000 0.5000 0.0000
Ba 0.0000 0.0000 0.0000
P 0.0000 0.5000 0.5000
La 0.5000 0.0000 0.5000
```

The following is a DFT calculation (GGA-PBE) of an optimized crystal structure of Mg12GaPb6. Values from VASP.

Symmetry: R-3 (148)
E_form in kJ/mol of atoms: 2.4

```
&SYSTEM
  ibrav = 0, nat = 19, ntyp = 3
/
ATOMIC_SPECIES
Mg 24.30 Mg.upf
Pb 207.20 Pb.upf
Ga 69.72 Ga.upf
CELL_PARAMETERS angstrom
8.2383 -0.0576 -0.0690
-1.3059 8.1343 -0.0690
-1.3059 -1.5215 7.9911
ATOMIC_POSITIONS crystal
Mg 0.1814 0.4892 0.6261
Mg 0.6999 0.9783 0.1379
Mg 0.9783 0.1379 0.6999
Mg 0.8621 0.3001 0.0217
Mg 0.4892 0.6261 0.1814
Mg 0.5108 0.3739 0.8186
Mg 0.1379 0.6999 0.9783
Mg 0.3001 0.0217 0.8621
Mg 0.6261 0.1814 0.4892
Mg 0.8186 0.5108 0.3739
Mg 0.3739 0.8186 0.5108
Mg 0.0217 0.8621 0.3001
Pb 0.5150 0.2680 0.1536
Pb 0.1536 0.5150 0.2680
Pb 0.8464 0.4850 0.7320
Pb 0.2680 0.1536 0.5150
Pb 0.4850 0.7320 0.8464
Pb 0.7320 0.8464 0.4850
Ga 0.0000 0.0000 0.0000
```

The following is a DFT calculation (GGA-PBE) of an optimized crystal structure of RbAuI3. Values from VASP.

Symmetry: P1 (1)
Raw total energy in Ry/atom: -0.1782

```
&SYSTEM
  ibrav = 0, nat = 5, ntyp = 3
/
ATOMIC_SPECIES
Rb 85.47 Rb.upf
Au 196.97 Au.upf
I 126.90 I.upf
CELL_PARAMETERS angstrom
6.4851 -0.1318 0.0881
-1.6646 7.5608 -0.0901
-2.7380 -0.5338 5.0874
ATOMIC_POSITIONS crystal
Rb 0.8107 0.8190 0.0282
Au 0.8090 0.3180 0.5273
I 0.1008 0.6454 0.6769
I 0.5182 0.9903 0.3783
I 0.8083 0.3183 0.0269
```

The following is a DFT calculation (GGA-PBE) of an optimized crystal structure of Sr2Si3SbPt4. Values from VASP.

Symmetry: P-4m2 (115)
Raw total energy in Ry/atom: -0.4146

```
&SYSTEM
  ibrav = 0, nat = 10, ntyp = 4
/
ATOMIC_SPECIES
Pt 195.08 Pt.upf
Sr 87.62 Sr.upf
Si 28.09 Si.upf
Sb 121.76 Sb.upf
CELL_PARAMETERS angstrom
4.4204 0.0000 0.0000
0.0000 4.4204 0.0000
0.0000 0.0000 10.1732
ATOMIC_POSITIONS crystal
Pt 0.5000 0.0000 0.6427
Pt 0.5000 0.5000 0.0000
Pt 0.0000 0.5000 0.3573
Pt 0.0000 0.0000 0.0000
Sr 0.0000 0.5000 0.7554
Sr 0.5000 0.0000 0.2446
Si 0.0000 0.5000 0.1177
Si 0.0000 0.0000 0.5000
Si 0.5000 0.0000 0.8823
Sb 0.5000 0.5000 0.5000
```

The following is a DFT calculation (GGA-PBE) of an optimized crystal structure of LaGaCuS2. Values from VASP.

Symmetry: P4/mmm (123)
Raw total energy in Ry/atom: -0.3449

```
&SYSTEM
  ibrav = 0, nat = 5, ntyp = 4
/
ATOMIC_SPECIES
Cu 63.55 Cu.upf
Ga 69.72 Ga.upf
S 32.06 S.upf
La 138.91 La.upf
CELL_PARAMETERS angstrom
4.8024 0.0000 0.0000
0.0000 4.4578 0.0000
0.0000 0.0000 4.8024
ATOMIC_POSITIONS crystal
Cu 0.0000 0.0000 0.0000
Ga 0.0000 0.5000 0.0000
S 0.0000 0.0000 0.5000
S 0.5000 0.0000 0.0000
La 0.5000 0.5000 0.5000
```

The following is a DFT calculation (GGA-PBE) of an optimized crystal structure of Ho3In2Ga. Values from VASP.

Symmetry: P-3m1 (164)
E_form in kJ/mol of atoms: -45.8

```
&SYSTEM
  ibrav = 0, nat = 6, ntyp = 3
/
ATOMIC_SPECIES
Ho 164.93 Ho.upf
Ga 69.72 Ga.upf
In 114.82 In.upf
CELL_PARAMETERS angstrom
5.2053 0.0000 0.0000
-2.6027 4.5079 0.0000
0.0000 0.0000 6.4065
ATOMIC_POSITIONS crystal
Ho 0.6667 0.3333 0.8453
Ho 0.3333 0.6667 0.1547
Ho 0.0000 0.0000 0.5000
Ga 0.0000 0.0000 0.0000
In 0.3333 0.6667 0.6602
In 0.6667 0.3333 0.3398
```

The following is a DFT calculation (GGA-PBE) of an optimized crystal structure of BaNaIrSe3. Values from VASP.

Symmetry: Cmcm (63)
Raw total energy in Ry/atom: -0.3372

```
&SYSTEM
  ibrav = 0, nat = 12, ntyp = 4
/
ATOMIC_SPECIES
Se 78.96 Se.upf
Ba 137.33 Ba.upf
Na 22.99 Na.upf
Ir 192.22 Ir.upf
CELL_PARAMETERS angstrom
6.8946 0.0000 0.0000
0.0000 7.4047 0.0000
0.0000 -3.7023 6.9316
ATOMIC_POSITIONS crystal
Se 0.0000 0.7852 0.0000
Se 0.5000 0.2148 0.0000
Se 0.2500 0.2350 0.4700
Se 0.0000 0.2148 0.0000
Se 0.7500 0.7650 0.5300
Se 0.5000 0.7852 0.0000
Ba 0.7500 0.1951 0.3901
Ba 0.2500 0.8049 0.6099
Na 0.7500 0.5668 0.1337
Na 0.2500 0.4332 0.8663
Ir 0.7500 0.9467 0.8934
Ir 0.2500 0.0533 0.1066
```

no.,density of states at the Fermi level (states/eV per cell)
1,3.61
2,4.08
3,6.26
4,4.22
5,25.37
6,4.82
7,8.07
8,0.60
9,3.73
10,2.73
11,3.37
12,6.59